(1)
VASP calculation (SCAN) on TmAu4 at its PBEsol-relaxed geometry.

Properties
formation energy: -0.732 eV/atom
final energy: -66.424 eV/atom

Lattice parameters (Å, degrees): 4.1053 5.1200 5.1200 80.75 66.37 66.37
Sites, in units of the cell vectors:
Tm: 0.0000 0.0000 0.0000
Au: 0.3995 0.7997 0.4014
Au: 0.6005 0.2003 0.5986
Au: 0.1991 0.4014 0.2003
Au: 0.8009 0.5986 0.7997

=====

(2)
VASP calculation (SCAN) on Ho4GaSbS9 at its PBEsol-relaxed geometry.

Properties
formation energy without anion corrections: -1749 meV per atom
final energy: -24.163 eV/atom

Lattice parameters (Å, degrees): 9.6907 9.6907 13.2959 90.00 90.00 91.22
Sites, in units of the cell vectors:
Ho: 0.6839 0.6627 0.3989
Ho: 0.3373 0.3161 0.6011
Ho: 0.1839 0.1627 0.1011
Ho: 0.8373 0.8161 0.8989
Ho: 0.9578 0.3751 0.3153
Ho: 0.6249 0.0422 0.6847
Ho: 0.4578 0.8751 0.1847
Ho: 0.1249 0.5422 0.8153
Ho: 0.9094 0.8726 0.1857
Ho: 0.1274 0.0906 0.8143
Ho: 0.4094 0.3726 0.3143
Ho: 0.6274 0.5906 0.6857
Ho: 0.6663 0.5508 0.1032
Ho: 0.4492 0.3337 0.8968
Ho: 0.1663 0.0508 0.3968
Ho: 0.9492 0.8337 0.6032
Ga: 0.1773 0.6121 0.0909
Ga: 0.3879 0.8227 0.9091
Ga: 0.6773 0.1121 0.4091
Ga: 0.8879 0.3227 0.5909
Sb: 0.1655 0.6661 0.3865
Sb: 0.3339 0.8345 0.6135
Sb: 0.6655 0.1661 0.1135
Sb: 0.8339 0.3345 0.8865
S: 0.9790 0.8353 0.3998
S: 0.1647 0.0210 0.6002
S: 0.4790 0.3353 0.1002
S: 0.6647 0.5210 0.8998
S: 0.8512 0.3403 0.0826
S: 0.6597 0.1488 0.9174
S: 0.3512 0.8403 0.4174
S: 0.1597 0.6488 0.5826
S: 0.1819 0.7972 0.1973
S: 0.2028 0.8181 0.8027
S: 0.6819 0.2972 0.3027
S: 0.7028 0.3181 0.6973
S: 0.1794 0.4218 0.1915
S: 0.5782 0.8206 0.8085
S: 0.6794 0.9218 0.3085
S: 0.0782 0.3206 0.6915
S: 0.8791 0.1209 0.5000
S: 0.3791 0.6209 0.0000
S: 0.8866 0.5087 0.4875
S: 0.4913 0.1134 0.5125
S: 0.3866 0.0087 0.0125
S: 0.9913 0.6134 0.9875
S: 0.1870 0.3201 0.4325
S: 0.6799 0.8130 0.5675
S: 0.6870 0.8201 0.0675
S: 0.1799 0.3130 0.9325
S: 0.9957 0.1194 0.2468
S: 0.8806 0.0043 0.7532
S: 0.4957 0.6194 0.2532
S: 0.3806 0.5043 0.7468
S: 0.5021 0.4979 0.5000
S: 0.0021 0.9979 0.0000
S: 0.8582 0.6096 0.2430
S: 0.3904 0.1418 0.7570
S: 0.3582 0.1096 0.2570
S: 0.8904 0.6418 0.7430

=====

(3)
VASP calculation (SCAN) on MgTl at its PBEsol-relaxed geometry.

Properties
formation energy: -0.094 eV/atom
final energy: -38.760 eV/atom

Lattice parameters (Å, degrees): 4.3895 4.3895 5.8564 112.01 112.01 90.00
Sites, in units of the cell vectors:
Tl: 0.7500 0.2500 0.5000
Tl: 0.5000 0.5000 0.0000
Mg: 0.2500 0.7500 0.5000
Mg: 0.0000 0.0000 0.0000

=====

(4)
VASP calculation (SCAN) on Cs2PdF6 at its PBEsol-relaxed geometry.

Properties
formation energy without anion corrections: -2335 meV per atom
final energy: -16.739 eV/atom

Lattice parameters (Å, degrees): 6.2998 6.2998 6.2998 60.00 60.00 60.00
Sites, in units of the cell vectors:
Cs: 0.7500 0.7500 0.7500
Cs: 0.2500 0.2500 0.2500
Pd: 0.0000 0.0000 0.0000
F: 0.7844 0.2156 0.7844
F: 0.2156 0.2156 0.7844
F: 0.7844 0.2156 0.2156
F: 0.7844 0.7844 0.2156
F: 0.2156 0.7844 0.7844
F: 0.2156 0.7844 0.2156

=====

- final energy of number 1 (TmAu4)?
  -66.424 eV/atom